1.
Compound: LiTl3Au2Br6
Source: Alexandria
Functional: PBE
Structure: relaxed

Cell lengths 8.0796, 8.0796, 8.6004 Å; angles 90.00, 90.00, 120.00 degrees
Positions (direct):
Li 0.0000 0.0000 0.5000
Tl 0.3333 0.6667 0.6545
Tl 0.6667 0.3333 0.3455
Tl 0.0000 0.0000 0.0000
Au 0.6667 0.3333 0.6846
Au 0.3333 0.6667 0.3154
Br 0.6993 0.8497 0.2959
Br 0.1503 0.3007 0.2959
Br 0.1503 0.8497 0.2959
Br 0.8497 0.6993 0.7041
Br 0.3007 0.1503 0.7041
Br 0.8497 0.1503 0.7041

Computed properties:
Calculated density: 5.10 Mg/m³
Fermi-level density of states: 0.000 states/eV per atom
Energy relative to the elements, uncorrected: -0.5843 eV/atom
Total magnetization: 0.0 μB/f.u.
Calculated volume: 486.2 Å³ per cell
E_tot: -32.62 eV per formula unit



2.
Compound: Zr3RuPt
Source: Alexandria
Functional: PBE
Structure: relaxed

Cell lengths 5.0156, 5.0156, 5.0156 Å; angles 90.00, 90.00, 90.00 degrees
Positions (direct):
Ru 0.5000 0.5000 0.5000
Zr 0.0000 0.5000 0.0000
Zr 0.0000 0.0000 0.5000
Zr 0.5000 0.0000 0.0000
Pt 0.0000 0.0000 0.0000

Computed properties:
Energy of formation: 0.632 eV/atom
Energy above the lowest structure with this stoichiometry: 345 meV per atom
Calculated density: 7.50 Mg/m³
Fermi-level density of states: 1.778 states/eV per atom
Total magnetization: 0.0 μB/f.u.
Calculated volume: 126.2 Å³ per cell
E_tot: -37.80 eV per formula unit



3.
Compound: In12Se3I5
Source: Alexandria
Functional: PBE
Structure: relaxed

Cell lengths 16.9277, 16.9277, 16.9277 Å; angles 109.47, 109.47, 109.47 degrees
Positions (direct):
Se 0.7500 0.3750 0.1250
Se 0.8750 0.7500 0.1250
Se 0.3750 0.7500 0.6250
Se 0.2500 0.1250 0.3750
Se 0.8750 0.1250 0.2500
Se 0.3750 0.6250 0.2500
Se 0.6250 0.3750 0.7500
Se 0.1250 0.8750 0.7500
Se 0.7500 0.8750 0.6250
Se 0.6250 0.2500 0.3750
Se 0.1250 0.2500 0.8750
Se 0.2500 0.6250 0.8750
I 0.1250 0.3750 0.2500
I 0.0000 0.5000 0.0000
I 0.0000 0.0000 0.0000
I 0.3750 0.2500 0.1250
I 0.5000 0.0000 0.5000
I 0.5000 0.5000 0.0000
I 0.1250 0.7500 0.3750
I 0.7500 0.1250 0.8750
I 0.7500 0.6250 0.3750
I 0.3750 0.1250 0.7500
I 0.6250 0.8750 0.2500
I 0.5000 0.5000 0.5000
I 0.5000 0.0000 0.0000
I 0.0000 0.0000 0.5000
I 0.2500 0.3750 0.6250
I 0.2500 0.8750 0.1250
I 0.0000 0.5000 0.5000
I 0.8750 0.2500 0.6250
I 0.6250 0.7500 0.8750
I 0.8750 0.6250 0.7500
In 0.7240 0.1816 0.0724
In 0.3484 0.5724 0.3908
In 0.9276 0.3184 0.2760
In 0.5724 0.2240 0.1816
In 0.5424 0.7240 0.6516
In 0.9276 0.6092 0.1516
In 0.3484 0.7760 0.4576
In 0.1092 0.9576 0.1816
In 0.6092 0.9276 0.6516
In 0.7240 0.5424 0.1516
In 0.7760 0.4276 0.3184
In 0.8484 0.8908 0.0724
In 0.1816 0.7240 0.5724
In 0.3184 0.3908 0.0424
In 0.0424 0.8908 0.3184
In 0.4576 0.1816 0.6092
In 0.0424 0.1516 0.2240
In 0.4276 0.6516 0.1092
In 0.8484 0.9576 0.2760
In 0.1816 0.4576 0.1092
In 0.3184 0.9276 0.7760
In 0.6092 0.6816 0.4576
In 0.8908 0.8484 0.5724
In 0.7760 0.3484 0.9576
In 0.3908 0.3184 0.5424
In 0.1092 0.1516 0.4276
In 0.2240 0.6516 0.0424
In 0.1516 0.0424 0.7240
In 0.6816 0.0724 0.2240
In 0.8184 0.5424 0.8908
In 0.5724 0.3484 0.8908
In 0.5424 0.8184 0.3908
In 0.9576 0.8484 0.7760
In 0.9576 0.1092 0.6816
In 0.8184 0.2760 0.4276
In 0.1516 0.1092 0.9276
In 0.6816 0.6092 0.9576
In 0.3908 0.0724 0.3484
In 0.2760 0.4576 0.8484
In 0.2240 0.5724 0.6816
In 0.8908 0.0424 0.8184
In 0.6516 0.2240 0.5424
In 0.4276 0.7760 0.8184
In 0.0724 0.3908 0.8484
In 0.4576 0.2760 0.3484
In 0.0724 0.6816 0.7240
In 0.6516 0.4276 0.6092
In 0.2760 0.8184 0.9276

Computed properties:
Calculated density: 4.00 Mg/m³
Fermi-level density of states: 0.111 states/eV per atom
Energy relative to the elements, uncorrected: -0.1700 eV/atom
Total magnetization: 0.0 μB/f.u.
Calculated volume: 3734.0 Å³ per cell
E_tot: -54.47 eV per formula unit



4.
Compound: GaCuAuF6
Source: Alexandria
Functional: PBE
Structure: relaxed

Cell lengths 5.3504, 5.3504, 10.3141 Å; angles 90.00, 90.00, 120.00 degrees
Positions (direct):
Ga 0.6667 0.3333 0.2500
Ga 0.3333 0.6667 0.7500
Cu 0.3333 0.6667 0.2500
Cu 0.6667 0.3333 0.7500
Au 0.0000 0.0000 0.0000
Au 0.0000 0.0000 0.5000
F 0.6429 0.6222 0.1464
F 0.9793 0.3571 0.1464
F 0.3571 0.9793 0.6464
F 0.0207 0.6429 0.8536
F 0.3778 0.3571 0.3536
F 0.9793 0.6222 0.3536
F 0.6222 0.9793 0.8536
F 0.6429 0.0207 0.3536
F 0.0207 0.3778 0.6464
F 0.3778 0.0207 0.1464
F 0.6222 0.6429 0.6464
F 0.3571 0.3778 0.8536

Computed properties:
Calculated density: 5.77 Mg/m³
Fermi-level density of states: 0.568 states/eV per atom
Energy relative to the elements, uncorrected: -1.6900 eV/atom
Total magnetization: 1.0 μB/f.u.
Calculated volume: 255.7 Å³ per cell
E_tot: -36.84 eV per formula unit



Question: What is the formula in the second record?
Answer: Zr3RuPt